## BeSbPt2 (meta-GGA SCAN)

Data for a PBEsol-optimized structure of BeSbPt2.

The total energy comes out at -45.647 eV/atom. The density of states at the Fermi level is 1.50 states/eV/f.u. The mass density is 14.1 g/cm³. As for the space group: No. 225. As for the energy above the most stable polymorph in this dataset: 93 meV/atom.

abc: 4.4317 4.4317 4.4317
angles: 60.00 60.00 60.00
With the nearest neighbours (Å) after each atom.
Positions (direct):
Be: 0.0000 0.0000 0.0000  8 Pt 2.71
Sb: 0.5000 0.5000 0.5000  8 Pt 2.71
Pt: 0.2500 0.2500 0.2500  4 Sb 2.71, 4 Be 2.71
Pt: 0.7500 0.7500 0.7500  4 Sb 2.71, 4 Be 2.71